Record 1
The following is a GGA-PBEsol calculation of a relaxed structure of GdCu3S3, from Alexandria via LeMat-Bulk.

Values from the calculation:
Uncorrected formation energy   -0.911 eV/atom
Final energy   -6.712 eV/atom

Geometry as CIF:
```
data_GdCu3S3
_chemical_formula_sum 'Gd6 Cu18 S18'
_symmetry_space_group_name_H-M 'R -3'
_symmetry_Int_Tables_number 148
_symmetry_space_group_name_Hall '-R 3'
_cell_length_a 6.5869
_cell_length_b 6.5869
_cell_length_c 18.9688
_cell_angle_alpha 90.00
_cell_angle_beta 90.00
_cell_angle_gamma 120.00
loop_
_atom_site_label
_atom_site_type_symbol
_atom_site_fract_x
_atom_site_fract_y
_atom_site_fract_z
_atom_site_occupancy
Gd1 Gd 0.0000 0.0000 0.1665 1
Cu1 Cu 0.0003 0.3423 0.3763 1
S1 S 0.9996 0.3280 0.5848 1
```

Record 2
The following is a GGA-PBEsol calculation of a relaxed structure of LaTaCu, from Alexandria via LeMat-Bulk.

Values from the calculation:
Final energy   -6.892 eV/atom
Fermi-level density of states   1.1165 states/eV per atom
Calculated formation energy   0.5185 eV per atom

Geometry as CIF:
```
data_LaTaCu
_chemical_formula_sum 'La1 Ta1 Cu1'
_symmetry_space_group_name_H-M 'P 3 m 1'
_symmetry_Int_Tables_number 156
_cell_length_a 2.9950
_cell_length_b 2.9950
_cell_length_c 7.5886
_cell_angle_alpha 90.00
_cell_angle_beta 90.00
_cell_angle_gamma 120.00
loop_
_symmetry_equiv_pos_as_xyz
'x,y,z'
'-y,x-y,z'
'-x+y,-x,z'
'-y,-x,z'
'-x+y,y,z'
'x,x-y,z'
loop_
_atom_site_label
_atom_site_type_symbol
_atom_site_fract_x
_atom_site_fract_y
_atom_site_fract_z
_atom_site_occupancy
La1 La 0.0000 0.0000 0.0000 1
Ta1 Ta 0.3333 0.6667 0.6146 1
Cu1 Cu 0.6667 0.3333 0.3473 1
```

Record 3
The following is a GGA-PBEsol calculation of a relaxed structure of RbPrSe2O8, from Alexandria via LeMat-Bulk.

Values from the calculation:
Uncorrected formation energy   -1.556 eV/atom
Final energy   -6.214 eV/atom
Fermi-level density of states   0.0000 states/eV per atom

Geometry as CIF:
```
data_RbPrSe2O8
_chemical_formula_sum 'Rb4 Pr4 Se8 O32'
_symmetry_space_group_name_H-M 'P 1 21/c 1'
_symmetry_Int_Tables_number 14
_cell_length_a 9.1068
_cell_length_b 7.3996
_cell_length_c 11.1490
_cell_angle_alpha 90.00
_cell_angle_beta 91.18
_cell_angle_gamma 90.00
loop_
_symmetry_equiv_pos_as_xyz
'x,y,z'
'-x,-y,-z'
'-x,y+1/2,-z+1/2'
'x,-y+1/2,z+1/2'
loop_
_atom_site_label
_atom_site_type_symbol
_atom_site_fract_x
_atom_site_fract_y
_atom_site_fract_z
_atom_site_occupancy
Rb1 Rb 0.0669 0.1449 0.3422 1
Pr1 Pr 0.4467 0.6669 0.6521 1
Se1 Se 0.2292 0.6608 0.4129 1
Se2 Se 0.3181 0.1639 0.6096 1
O1 O 0.0961 0.5282 0.3683 1
O2 O 0.1390 0.1542 0.6055 1
O3 O 0.2072 0.7389 0.0458 1
O4 O 0.2640 0.6809 0.8104 1
O5 O 0.3738 0.1591 0.1960 1
O6 O 0.3840 0.5441 0.4478 1
O7 O 0.3854 0.1632 0.4729 1
O8 O 0.4003 0.5023 0.1908 1
```

Record 4
The following is a GGA-PBEsol calculation of a relaxed structure of Mg5Ag, from Alexandria via LeMat-Bulk.

Values from the calculation:
Final energy   -2.051 eV/atom
Fermi-level density of states   0.4161 states/eV per atom
Calculated formation energy   -0.0683 eV per atom

Geometry as CIF:
```
data_Mg5Ag
_chemical_formula_sum 'Mg5 Ag1'
_symmetry_space_group_name_H-M 'P 4/m m m'
_symmetry_Int_Tables_number 123
_symmetry_space_group_name_Hall '-P 4 2'
_cell_length_a 3.2693
_cell_length_b 3.2693
_cell_length_c 11.7655
_cell_angle_alpha 90.00
_cell_angle_beta 90.00
_cell_angle_gamma 90.00
loop_
_atom_site_label
_atom_site_type_symbol
_atom_site_fract_x
_atom_site_fract_y
_atom_site_fract_z
_atom_site_occupancy
Mg1 Mg 0.0000 0.0000 0.0000 1
Mg2 Mg 0.0000 0.0000 0.3616 1
Mg3 Mg 0.5000 0.5000 0.1800 1
Ag1 Ag 0.5000 0.5000 0.5000 1
```

What did the third record say?
The following is a GGA-PBEsol calculation of a relaxed structure of RbPrSe2O8, from Alexandria via LeMat-Bulk.

Values from the calculation:
Uncorrected formation energy   -1.556 eV/atom
Final energy   -6.214 eV/atom
Fermi-level density of states   0.0000 states/eV per atom

Geometry as CIF:
```
data_RbPrSe2O8
_chemical_formula_sum 'Rb4 Pr4 Se8 O32'
_symmetry_space_group_name_H-M 'P 1 21/c 1'
_symmetry_Int_Tables_number 14
_cell_length_a 9.1068
_cell_length_b 7.3996
_cell_length_c 11.1490
_cell_angle_alpha 90.00
_cell_angle_beta 91.18
_cell_angle_gamma 90.00
loop_
_symmetry_equiv_pos_as_xyz
'x,y,z'
'-x,-y,-z'
'-x,y+1/2,-z+1/2'
'x,-y+1/2,z+1/2'
loop_
_atom_site_label
_atom_site_type_symbol
_atom_site_fract_x
_atom_site_fract_y
_atom_site_fract_z
_atom_site_occupancy
Rb1 Rb 0.0669 0.1449 0.3422 1
Pr1 Pr 0.4467 0.6669 0.6521 1
Se1 Se 0.2292 0.6608 0.4129 1
Se2 Se 0.3181 0.1639 0.6096 1
O1 O 0.0961 0.5282 0.3683 1
O2 O 0.1390 0.1542 0.6055 1
O3 O 0.2072 0.7389 0.0458 1
O4 O 0.2640 0.6809 0.8104 1
O5 O 0.3738 0.1591 0.1960 1
O6 O 0.3840 0.5441 0.4478 1
O7 O 0.3854 0.1632 0.4729 1
O8 O 0.4003 0.5023 0.1908 1
```

Question: final energy of number 4 (Mg5Ag)?
Answer: -2.051 eV/atom

Question: final energy of number 4 (Mg5Ag)?
Answer: -2.051 eV/atom